1.
5
Lattice="-1.4176 2.9960 -2.6244 -3.9784 -1.1973 0.7822 -0.1996 2.8864 3.4030" Properties=species:S:1:pos:R:3 comment="NaAlReNi2 (meta-GGA SCAN, single point on PBEsol structure)" delta_e_f_mev_per_atom=1523 space_group=P4/mmm total_energy_ev_per_cell=-107.8 pbc="T T T"
Re -2.7978 2.3426 0.7804
Ni -1.9892 -0.5987 0.3911
Ni -0.7088 1.4980 -1.3122
Na -0.0998 1.4432 1.7015
Al 0.0000 0.0000 0.0000

***

2.
5
Lattice="-1.6247 -3.8263 -2.8666 -2.8479 -1.7456 3.9441 -3.9796 2.8858 -1.5963" Properties=species:S:1:pos:R:3 comment="NbReSbTe2 (meta-GGA SCAN, single point on PBEsol structure)" polymorph_energy_ev_per_atom=0.000 space_group=P4/mmm total_energy_ev_per_cell=-210.2 pbc="T T T"
Re 0.0000 0.0000 0.0000
Te -1.4239 -0.8728 1.9720
Te -1.9898 1.4429 -0.7982
Sb -0.8124 -1.9131 -1.4333
Nb -4.2261 -1.3431 -0.2594

***

3.
5
Lattice="4.6042 0.0000 0.0000 0.0000 4.6042 0.0000 0.0000 0.0000 4.6042" Properties=species:S:1:pos:R:3 comment="Os3RuN (meta-GGA SCAN, single point on PBEsol structure)" polymorph_energy_ev_per_atom=2.746 space_group=Pm-3m total_energy_ev_per_cell=-242.0 pbc="T T T"
N 2.3021 2.3021 2.3021
Os 0.0000 2.3021 0.0000
Os 2.3021 0.0000 0.0000
Os 0.0000 0.0000 2.3021
Ru 0.0000 0.0000 0.0000

***

4.
5
Lattice="-0.7911 -1.3471 4.6194 4.3288 -2.2434 0.0871 0.9589 7.1373 -0.3282" Properties=species:S:1:pos:R:3 comment="ZnSb2Br2 (meta-GGA SCAN, single point on PBEsol structure)" space_group=I4/mmm total_energy_ev_per_cell=-125.0 pbc="T T T"
Sb 2.3494 -0.6582 2.7843
Sb 2.1472 4.2050 1.5940
Zn 0.0000 0.0000 0.0000
Br 0.9683 1.9975 3.3222
Br 3.5283 1.5493 1.0561

***

5.
4
Lattice="3.2033 0.0000 0.0000 0.0000 4.7350 0.0000 -1.6017 -2.3675 4.2227" Properties=species:S:1:pos:R:3 comment="CaBeRe2 (meta-GGA SCAN, single point on PBEsol structure)" delta_e_f_mev_per_atom=703 space_group=Imm2 total_energy_ev_per_cell=-153.4 pbc="T T T"
Re 0.0000 0.0000 0.2459
Re 1.6017 0.0000 2.1365
Be 0.0000 0.0000 3.9770
Ca 0.0000 2.3675 2.0861

***

6.
4
Lattice="-2.1284 1.3328 -2.6999 -3.5085 0.8991 0.6918 0.1970 7.5275 1.0428" Properties=species:S:1:pos:R:3 comment="As3Br (meta-GGA SCAN, single point on PBEsol structure)" polymorph_energy_ev_per_atom=0.000 space_group=R-3m total_energy_ev_per_cell=-79.0 pbc="T T T"
As -2.7199 4.8797 -0.4826
As -1.2892 2.6712 -0.1829
As -4.1507 7.0883 -0.7823
Br 0.0000 0.0000 0.0000

***

7.
56
Lattice="5.8564 0.0000 0.0000 0.0000 9.9059 0.0000 0.0000 0.0000 14.2451" Properties=species:S:1:pos:R:3 comment="Sr2GeO4 (meta-GGA SCAN, single point on PBEsol structure)" space_group=Pna2_1 total_energy_ev_per_cell=-862.7 pbc="T T T"
O 1.6877 0.6444 7.7500
O 3.7437 9.2491 9.9922
O 5.6397 1.3743 10.0048
O 3.9540 0.4786 5.3672
O 3.0806 8.4006 0.4282
O 4.6159 5.5974 13.6176
O 2.9586 2.0742 10.7340
O 4.8305 0.4786 12.4898
O 0.0304 7.0271 10.6336
O 1.0259 5.4315 1.7553
O 2.1126 4.2962 4.2529
O 3.2080 2.9934 7.2185
O 0.8155 4.2962 11.3754
O 4.8992 4.5541 9.0780
O 0.9572 9.5070 5.1671
O 5.8259 2.0742 3.6115
O 1.9710 9.5070 12.2896
O 2.7758 3.4477 13.8169
O 5.5765 2.9934 0.0960
O 2.6483 7.9463 7.0266
O 2.8977 7.0271 3.5111
O 1.2405 0.6444 0.6275
O 1.9023 5.4315 8.8778
O 5.0408 9.2491 2.8697
O 2.7116 6.3272 11.3628
O 3.1448 1.3743 2.8822
O 0.1524 3.4477 6.6943
O 4.1687 5.5974 6.4950
O 0.2166 6.3272 4.2403
O 5.7040 8.4006 7.5507
O 0.2798 7.9463 14.1491
O 3.8853 4.5541 1.9554
Sr 1.6234 5.6318 6.4883
Sr 4.5222 7.8899 5.2866
Sr 1.2057 9.1988 10.0218
Sr 1.3048 5.6318 13.6109
Sr 1.7514 2.0154 5.4073
Sr 4.6796 6.9684 1.7152
Sr 4.6506 4.2458 4.2232
Sr 1.7225 9.1988 2.8993
Sr 4.5515 0.6789 0.6342
Sr 1.1768 2.0154 12.5299
Sr 1.3342 2.9369 8.9585
Sr 4.2330 0.6789 7.7567
Sr 4.1049 6.9684 8.8377
Sr 4.2623 7.8899 12.4091
Sr 4.1339 4.2458 11.3458
Sr 1.5940 2.9369 1.8359
Ge 1.6031 9.0772 13.9445
Ge 1.2631 5.7763 10.4748
Ge 1.6651 5.7763 3.3522
Ge 1.3251 9.0772 6.8220
Ge 4.2533 4.1243 0.3006
Ge 4.5312 4.1243 7.4231
Ge 4.5933 0.8234 3.7703
Ge 4.1912 0.8234 10.8928

***

8.
4
Lattice="-4.5637 0.6050 -1.3014 1.1268 -0.4587 4.6288 1.6624 8.1527 -2.0397" Properties=species:S:1:pos:R:3 comment="K2TlMo (meta-GGA SCAN, single point on PBEsol structure)" polymorph_energy_ev_per_atom=0.000 delta_e_f_mev_per_atom=714 space_group=Cm total_energy_ev_per_cell=-121.0 pbc="T T T"
K 0.5893 5.2882 0.3917
K 0.0800 0.7484 0.0672
Tl -2.3321 3.2705 0.9050
Mo -0.4358 2.9120 2.8820

***

9.
5
Lattice="-2.1456 -0.5746 4.2846 -5.1715 -0.5956 -2.6696 0.8466 -5.7781 -0.3509" Properties=species:S:1:pos:R:3 comment="SrTlCuBi2 (meta-GGA SCAN, single point on PBEsol structure)" delta_e_f_mev_per_atom=210 space_group=P4/mmm total_energy_ev_per_cell=-265.9 pbc="T T T"
Bi -2.5857 -0.2978 -1.3348
Bi 0.4233 -2.8890 -0.1754
Cu -1.0728 -0.2873 2.1423
Tl 0.0000 0.0000 0.0000
Sr -3.2352 -3.4741 0.6321

***

10.
4
Lattice="-2.4109 4.4290 -2.5921 -3.3115 -0.8234 -4.5281 -5.5972 0.8140 0.3955" Properties=species:S:1:pos:R:3 comment="CsLiIn2 (meta-GGA SCAN, single point on PBEsol structure)" delta_e_f_mev_per_atom=168 space_group=Fm-3m total_energy_ev_per_cell=-106.3 pbc="T T T"
Cs -5.6598 2.2098 -3.3623
In -2.8299 1.1049 -1.6812
In -8.4897 3.3147 -5.0435
Li 0.0000 0.0000 0.0000

***

11.
4
Lattice="-0.0603 -1.5787 -2.2769 -2.2114 -3.3833 2.4044 -3.1401 4.4072 -1.2860" Properties=species:S:1:pos:R:3 comment="AlAg2Mo (meta-GGA SCAN, single point on PBEsol structure)" delta_e_f_mev_per_atom=231 space_group=Immm total_energy_ev_per_cell=-104.4 pbc="T T T"
Al -0.0302 -0.7893 -1.1385
Ag -2.0114 0.9061 -0.5749
Ag -3.4004 -1.4609 -0.5836
Mo -1.1057 -1.6917 1.2022

***

12.
30
Lattice="4.8182 0.0098 0.0109 2.3946 6.9687 0.0004 0.7409 1.4386 9.1558" Properties=species:S:1:pos:R:3 comment="FeCo9O20 (meta-GGA SCAN, single point on PBEsol structure)" space_group=P-1 total_energy_ev_per_cell=-331.2 pbc="T T T"
O 3.9433 7.0160 8.2366
O 6.4112 5.5850 0.9324
O 5.5683 4.2122 5.5277
O 4.7849 2.8258 3.6450
O 1.5991 2.7890 0.9231
O 3.1689 5.5913 5.5220
O 6.3547 5.6280 8.2440
O 2.3855 4.2048 3.6393
O 3.9488 4.2299 8.2398
O 4.0105 1.4011 0.9304
O 4.0050 4.1871 0.9272
O 2.3683 1.4167 3.6737
O 3.9550 1.4441 8.2403
O 0.7779 1.4148 5.4861
O 3.9988 6.9730 0.9267
O 5.5855 7.0004 5.4934
O 1.5426 2.8321 8.2346
O 3.1734 2.8236 5.5232
O 4.7804 5.5934 3.6439
O 7.1759 7.0022 3.6809
Co 3.9714 6.9911 4.5819
Co 6.3837 5.6037 4.5883
Co 0.0000 0.0000 0.0000
Co 4.8124 2.7951 0.0092
Co 4.8068 5.5812 0.0073
Co 3.9824 1.4260 4.5852
Co 3.1470 2.8358 9.1598
Co 3.1414 5.6219 9.1579
Co 1.5701 2.8133 4.5787
Fe 3.9769 4.2085 4.5835

***

no.,M_tot (Bohr magnetons per cell)
1,3.0
2,3.4
3,4.3
4,0.0
5,0.0
6,0.0
7,0.0
8,3.1
9,0.0
10,0.0
11,0.0
12,11.0